Record 1
Entry from Alexandria: a relaxed TmNpPa2N6 crystal (PBE).

```
TmNpPa2N6
1.0
5.932 0.000 0.000
2.966 5.137 0.000
2.966 1.712 4.900
Np N Pa Tm
1 6 2 1
Direct
0.309 0.309 0.074 Np
0.695 0.139 0.759 N
0.926 0.623 0.243 N
0.623 0.208 0.243 N
0.408 0.695 0.759 N
0.208 0.926 0.243 N
0.139 0.408 0.759 N
0.528 0.528 0.415 Pa
0.025 0.025 0.924 Pa
0.801 0.801 0.597 Tm
```

Uncorrected energy ... -100.7 eV per cell
Fermi-level density of states ... 0.79 states/eV per atom
Space-group type ... R3 (146)
Calculated density ... 10.59 Mg/m³

Record 2
Entry from Alexandria: a relaxed La2InSn3 crystal (PBE).

```
La2InSn3
1.0
-0.315 5.051 -2.852
2.475 -3.850 -7.092
-8.419 -0.206 0.566
Sn In La
6 2 4
Direct
0.000 0.822 0.178 Sn
0.500 0.822 0.178 Sn
0.000 0.178 0.822 Sn
0.250 0.424 0.424 Sn
0.750 0.576 0.576 Sn
0.500 0.178 0.822 Sn
0.250 0.130 0.130 In
0.750 0.870 0.870 In
0.250 0.546 0.835 La
0.750 0.454 0.165 La
0.750 0.165 0.454 La
0.250 0.835 0.546 La
```

Formation energy ... -0.3668 eV per atom
Uncorrected energy ... -53.6 eV per cell
Fermi-level density of states ... 0.60 states/eV per atom
Space-group type ... Cmcm (63)
Calculated density ... 6.38 Mg/m³

Record 3
Entry from Alexandria: a relaxed LaMn2 crystal (PBE).

```
LaMn2
1.0
-4.070 5.045 1.217
-0.802 -2.140 6.186
5.127 3.669 1.934
Mn La
8 4
Direct
0.115 0.885 0.385 Mn
0.885 0.115 0.615 Mn
0.385 0.115 0.885 Mn
0.385 0.385 0.385 Mn
0.615 0.615 0.615 Mn
0.885 0.385 0.115 Mn
0.615 0.885 0.115 Mn
0.115 0.615 0.885 Mn
0.000 0.000 0.000 La
0.500 0.500 0.000 La
0.500 0.000 0.500 La
0.000 0.500 0.500 La
```

Formation energy ... 1.2510 eV per atom
Uncorrected energy ... -78.1 eV per cell
Fermi-level density of states ... 1.35 states/eV per atom
Space-group type ... Pa-3 (205)
Calculated density ... 5.76 Mg/m³

Record 4
Entry from Alexandria: a relaxed Zr4Ge6Rh7 crystal (PBE).

```
Zr4Ge6Rh7
1.0
-2.674 -4.726 -4.596
6.975 -1.151 0.796
-3.252 -0.705 6.287
Ge Rh Zr
6 7 4
Direct
0.686 0.000 0.686 Ge
0.000 0.686 0.686 Ge
0.314 0.314 0.000 Ge
0.686 0.686 0.000 Ge
0.314 0.000 0.314 Ge
0.000 0.314 0.314 Ge
0.000 0.000 0.000 Rh
0.250 0.750 0.500 Rh
0.500 0.250 0.750 Rh
0.750 0.250 0.500 Rh
0.750 0.500 0.250 Rh
0.250 0.500 0.750 Rh
0.500 0.750 0.250 Rh
0.500 0.500 0.500 Zr
0.500 0.000 0.000 Zr
0.000 0.500 0.000 Zr
0.000 0.000 0.500 Zr
```

Formation energy ... -0.8511 eV per atom
Uncorrected energy ... -127.8 eV per cell
Fermi-level density of states ... 0.28 states/eV per atom
Space-group type ... Im-3m (229)
Calculated density ... 9.11 Mg/m³

Question: Which value of uncorrected energy does entry 1 give?
Answer: -100.7 eV per cell

Question: Which of these has the highest calculated density?
Answer: TmNpPa2N6

Question: Among the records above, which one has the lowest uncorrected energy?
Answer: Zr4Ge6Rh7